This record from Alexandria via LeMat-Bulk describes a relaxed ZrGaAs crystal. The functional is PBE.

Computed properties:
Space group: P4/nmm
Formation energy: -15.51 kcal/mol of atoms

Cell: 3.796 3.796 8.089 Å, 90.00 90.00 90.00°
Atoms (fractional coordinates):
Zr 0.000 0.500 0.711
Zr 0.500 0.000 0.289
As 0.000 0.500 0.353
As 0.500 0.000 0.647
Ga 0.000 0.000 0.000
Ga 0.500 0.500 0.000

This record from Alexandria via LeMat-Bulk describes a relaxed CaZr2P crystal. The functional is PBE.

Computed properties:
Space group: R-3m
Formation energy: -12.07 kcal/mol of atoms

Cell: 9.176 9.176 9.176 Å, 22.81 22.81 22.81°
Atoms (fractional coordinates):
Ca 0.750 0.750 0.750
Zr 0.529 0.529 0.529
Zr 0.971 0.971 0.971
P 0.250 0.250 0.250

This record from Alexandria via LeMat-Bulk describes a relaxed HgPd2Pb crystal. The functional is PBE.

Computed properties:
Space group: Pbca
Formation energy: -2.48 kcal/mol of atoms

Cell: 8.557 5.760 13.040 Å, 90.00 90.00 90.00°
Atoms (fractional coordinates):
Hg 0.742 0.922 0.564
Hg 0.758 0.422 0.436
Hg 0.258 0.078 0.436
Hg 0.242 0.578 0.564
Hg 0.742 0.422 0.936
Hg 0.258 0.578 0.064
Hg 0.242 0.078 0.936
Hg 0.758 0.922 0.064
Pb 0.246 0.577 0.320
Pb 0.254 0.577 0.820
Pb 0.746 0.423 0.180
Pb 0.754 0.923 0.820
Pb 0.746 0.923 0.320
Pb 0.254 0.077 0.680
Pb 0.246 0.077 0.180
Pb 0.754 0.423 0.680
Pd 0.500 0.741 0.693
Pd 0.001 0.233 0.561
Pd 0.999 0.767 0.439
Pd 0.001 0.733 0.939
Pd 0.000 0.759 0.693
Pd 0.000 0.259 0.807
Pd 0.500 0.241 0.807
Pd 0.500 0.759 0.193
Pd 0.000 0.241 0.307
Pd 0.999 0.267 0.061
Pd 0.499 0.233 0.061
Pd 0.501 0.767 0.939
Pd 0.500 0.259 0.307
Pd 0.499 0.733 0.439
Pd 0.501 0.267 0.561
Pd 0.000 0.741 0.193

This record from Alexandria via LeMat-Bulk describes a relaxed Rb2Pt crystal. The functional is PBE.

Computed properties:
Space group: C2/m
Formation energy: 3.25 kcal/mol of atoms

Cell: 6.139 6.139 4.493 Å, 68.12 68.12 42.80°
Atoms (fractional coordinates):
Rb 0.347 0.347 0.651
Rb 0.653 0.653 0.349
Pt 0.000 0.000 0.000

This record from Alexandria via LeMat-Bulk describes a relaxed La2Tb3Pr8 crystal. The functional is PBE.

Computed properties:
ΔE to the lowest computed polymorph: 0 meV per atom
Space group: C2/m
Formation energy: 3.56 kcal/mol of atoms

Cell: 6.225 12.017 9.057 Å, 131.56 72.33 90.00°
Atoms (fractional coordinates):
Pr 0.661 0.078 0.673
Pr 0.903 0.139 0.278
Pr 0.097 0.861 0.722
Pr 0.339 0.405 0.327
Pr 0.234 0.584 0.167
Pr 0.339 0.922 0.327
Pr 0.766 0.416 0.833
Pr 0.661 0.595 0.673
Tb 0.000 0.261 0.000
Tb 0.000 0.739 0.000
Tb 0.500 0.000 0.000
La 0.653 0.693 0.385
La 0.347 0.307 0.615

This record from Alexandria via LeMat-Bulk describes a relaxed Cd2AsPH crystal. The functional is PBE.

Computed properties:
ΔE to the lowest computed polymorph: 0 meV per atom
Space group: P4mm

Cell: 5.201 5.201 3.475 Å, 90.00 90.00 90.00°
Atoms (fractional coordinates):
As 0.500 0.500 0.553
H 0.000 0.000 0.481
P 0.000 0.000 0.070
Cd 0.500 0.000 0.948
Cd 0.000 0.500 0.948

The magnetization results, record by record, are as follows: 0.0, 0.0, 0.0, 0.0, 0.0, 0.0 μB per cell.